Crystalline InGe5W3 at its relaxed geometry. Source: OQMD via LeMat-Bulk, functional PBE.

CIF file:
```
data_InGe5W3
_cell_length_a 5.3225
_cell_length_b 5.3225
_cell_length_c 7.9938
_cell_angle_alpha 90.00
_cell_angle_beta 90.00
_cell_angle_gamma 120.00
_symmetry_space_group_name_H-M 'P 6/m m m'
_symmetry_Int_Tables_number 191
_symmetry_space_group_name_Hall '-P 6 2'
loop_
_atom_site_label
_atom_site_fract_x
_atom_site_fract_y
_atom_site_fract_z
In1 0.0000 0.0000 0.0000
Ge1 0.0000 0.0000 0.5000
Ge2 0.3333 0.6667 0.2171
W1 0.0000 0.5000 0.5000
```

Values from the calculation:
**Uncorrected energy**: -6.877 eV/atom